A plane-wave DFT calculation with meta-GGA SCAN was carried out for a PBEsol-optimized structure of LiPIr3.

Cell: 4.0724 4.0724 4.0724 Å, 90.00 90.00 90.00°
Last column: nearest neighbours and their distance in Å.
Atoms (fractional coordinates):
1 Ir 0.5000 0.0000 0.0000  2 Li 2.04
2 Ir 0.0000 0.5000 0.0000  2 Li 2.04
3 Ir 0.0000 0.0000 0.5000  2 Li 2.04
4 P 0.5000 0.5000 0.5000  12 Ir 2.88
5 Li 0.0000 0.0000 0.0000  6 Ir 2.04

Values from the calculation:
As for the formation enthalpy at 0 K: 1.180 eV/atom. The symmetry is Pm-3m, No. 221. The value obtained for the total energy is -44.0374 eV/atom.